VASP calculation (GGA-PBEsol) on Ru3OF after structural relaxation.

## Properties
* density of states at the Fermi level: 1.563 states/eV/atom
* E_tot: -5.788 eV per atom

Lattice parameters (Å, degrees): 4.081 4.081 4.081 90.00 90.00 90.00
Space group Pm-3m (No. 221)
One atom of each set of equivalent atoms:
1 Ru 0.000 0.000 0.500 x3
2 O 0.500 0.500 0.500 x1
3 F 0.000 0.000 0.000 x1